Entry 1:
! GGA-PBE LiTiTlPb, optimized geometry; values from VASP
&SYSTEM
  ibrav = 0, nat = 16, ntyp = 4
/
ATOMIC_SPECIES
Li 6.94 Li.upf
Ti 47.87 Ti.upf
Tl 204.38 Tl.upf
Pb 207.20 Pb.upf
CELL_PARAMETERS angstrom
7.032 0.000 0.000
0.000 7.032 0.000
0.000 0.000 7.032
ATOMIC_POSITIONS crystal
Li 0.000 0.000 0.000
Li 0.000 0.500 0.500
Li 0.500 0.000 0.500
Li 0.500 0.500 0.000
Ti 0.000 0.000 0.500
Ti 0.000 0.500 0.000
Ti 0.500 0.000 0.000
Ti 0.500 0.500 0.500
Tl 0.250 0.250 0.750
Tl 0.250 0.750 0.250
Tl 0.750 0.250 0.250
Tl 0.750 0.750 0.750
Pb 0.250 0.250 0.250
Pb 0.250 0.750 0.750
Pb 0.750 0.250 0.750
Pb 0.750 0.750 0.250
! - raw total energy (eV per atom) = -3.899
! - formation energy (eV/atom) = 0.072
! - volume (Å³ per atom) = 21.7

Entry 2:
! GGA-PBE LiP2Os, optimized geometry; values from VASP
&SYSTEM
  ibrav = 0, nat = 8, ntyp = 3
/
ATOMIC_SPECIES
Li 6.94 Li.upf
P 30.97 P.upf
Os 190.23 Os.upf
CELL_PARAMETERS angstrom
7.403 0.000 0.000
0.000 2.987 0.000
-0.869 0.000 5.241
ATOMIC_POSITIONS crystal
Li 0.000 0.000 0.000
Li 0.500 0.500 0.000
P 0.234 0.000 0.715
P 0.266 0.500 0.285
P 0.734 0.500 0.715
P 0.766 0.000 0.285
Os 0.000 0.500 0.500
Os 0.500 0.000 0.500
! - excess energy over the best structure of this formula in the dataset (meV/atom) = 16
! - raw total energy (eV per atom) = -6.216
! - formation energy (eV/atom) = -0.225
! - volume (Å³ per atom) = 14.5

> Among the records above, which one has the lowest raw total energy?

LiP2Os